No. 1
Below is crystalline AcPr3Pa2N6 at its relaxed geometry, with properties calculated at the PBE-GGA level.

## Properties
**Space-group type**: C2/m (12)
**Formation energy (no corrections)**: -1425 meV per atom
**M_tot**: 0.0 μB/f.u.

Unit cell a=8.201 b=8.201 c=7.335 alpha=102.45 beta=102.45 gamma=25.66
Element x y z (fractional)
Ac (0.000, 0.000, 0.000)
Pr (0.000, 0.000, 0.500)
Pr (0.331, 0.331, 0.161)
Pr (0.669, 0.669, 0.839)
Pa (0.331, 0.331, 0.665)
Pa (0.669, 0.669, 0.335)
N (0.170, 0.170, 0.122)
N (0.175, 0.175, 0.559)
N (0.476, 0.476, 0.726)
N (0.524, 0.524, 0.274)
N (0.825, 0.825, 0.441)
N (0.830, 0.830, 0.878)

No. 2
Below is crystalline Ac2PrPaN4 at its relaxed geometry, with properties calculated at the PBE-GGA level.

## Properties
**Space-group type**: P2/m (10)
**Formation energy (no corrections)**: -1320 meV per atom
**M_tot**: 0.0 μB/f.u.

Unit cell a=6.398 b=3.709 c=6.554 alpha=90.00 beta=108.85 gamma=90.00
Element x y z (fractional)
Ac (0.000, 0.000, 0.000)
Ac (0.500, 0.500, 0.000)
Pr (0.000, 0.500, 0.500)
Pa (0.500, 0.000, 0.500)
N (0.270, 0.000, 0.712)
N (0.287, 0.500, 0.296)
N (0.713, 0.500, 0.704)
N (0.730, 0.000, 0.288)

No. 3
Below is crystalline AcPr3Pa4N12 at its relaxed geometry, with properties calculated at the PBE-GGA level.

## Properties
**Space-group type**: Im-3 (204)
**Formation energy (no corrections)**: -1200 meV per atom
**M_tot**: 0.0 μB/f.u.

Unit cell a=7.495 b=7.495 c=7.495 alpha=109.47 beta=109.47 gamma=109.47
Element x y z (fractional)
Ac (0.000, 0.000, 0.000)
Pr (0.000, 0.500, 0.500)
Pr (0.500, 0.000, 0.500)
Pr (0.500, 0.500, 0.000)
Pa (0.000, 0.000, 0.500)
Pa (0.000, 0.500, 0.000)
Pa (0.500, 0.000, 0.000)
Pa (0.500, 0.500, 0.500)
N (0.089, 0.290, 0.799)
N (0.201, 0.491, 0.290)
N (0.201, 0.911, 0.710)
N (0.290, 0.201, 0.491)
N (0.290, 0.799, 0.089)
N (0.491, 0.290, 0.201)
N (0.509, 0.710, 0.799)
N (0.710, 0.201, 0.911)
N (0.710, 0.799, 0.509)
N (0.799, 0.089, 0.290)
N (0.799, 0.509, 0.710)
N (0.911, 0.710, 0.201)

No. 4
Below is crystalline Ac4PrPa3N8 at its relaxed geometry, with properties calculated at the PBE-GGA level.

## Properties
**Space-group type**: R-3m (166)
**Formation energy (no corrections)**: -1386 meV per atom
**M_tot**: 0.0 μB/f.u.

Unit cell a=7.509 b=7.509 c=7.509 alpha=58.36 beta=58.36 gamma=58.36
Element x y z (fractional)
Ac (0.000, 0.000, 0.000)
Ac (0.000, 0.500, 0.500)
Ac (0.500, 0.000, 0.500)
Ac (0.500, 0.500, 0.000)
Pr (0.500, 0.500, 0.500)
Pa (0.000, 0.000, 0.500)
Pa (0.000, 0.500, 0.000)
Pa (0.500, 0.000, 0.000)
N (0.206, 0.744, 0.744)
N (0.230, 0.230, 0.230)
N (0.256, 0.256, 0.794)
N (0.256, 0.794, 0.256)
N (0.744, 0.206, 0.744)
N (0.744, 0.744, 0.206)
N (0.770, 0.770, 0.770)
N (0.794, 0.256, 0.256)

No. 5
Below is crystalline AcPr2PaN4 at its relaxed geometry, with properties calculated at the PBE-GGA level.

## Properties
**Space-group type**: P2/m (10)
**Formation energy (no corrections)**: -1353 meV per atom
**M_tot**: 0.0 μB/f.u.

Unit cell a=6.338 b=3.676 c=6.478 alpha=90.00 beta=109.23 gamma=90.00
Element x y z (fractional)
Ac (0.000, 0.000, 0.000)
Pr (0.500, 0.000, 0.500)
Pr (0.500, 0.500, 0.000)
Pa (0.000, 0.500, 0.500)
N (0.221, 0.000, 0.712)
N (0.232, 0.500, 0.287)
N (0.768, 0.500, 0.713)
N (0.779, 0.000, 0.288)

No. 6
Below is crystalline Ac4PuPa3N8 at its relaxed geometry, with properties calculated at the PBE-GGA level.

## Properties
**Space-group type**: R-3m (166)
**Formation energy (no corrections)**: -1362 meV per atom
**M_tot**: 4.7 μB/f.u.

Unit cell a=7.453 b=7.453 c=7.453 alpha=58.50 beta=58.50 gamma=58.50
Element x y z (fractional)
Ac (0.000, 0.000, 0.000)
Ac (0.000, 0.500, 0.500)
Ac (0.500, 0.000, 0.500)
Ac (0.500, 0.500, 0.000)
Pu (0.500, 0.500, 0.500)
Pa (0.000, 0.000, 0.500)
Pa (0.000, 0.500, 0.000)
Pa (0.500, 0.000, 0.000)
N (0.217, 0.737, 0.737)
N (0.230, 0.230, 0.230)
N (0.263, 0.263, 0.783)
N (0.263, 0.783, 0.263)
N (0.737, 0.217, 0.737)
N (0.737, 0.737, 0.217)
N (0.770, 0.770, 0.770)
N (0.783, 0.263, 0.263)

No. 7
Below is crystalline AcPu2PaN4 at its relaxed geometry, with properties calculated at the PBE-GGA level.

## Properties
**Space-group type**: P2/m (10)
**Formation energy (no corrections)**: -1259 meV per atom
**M_tot**: 10.5 μB/f.u.

Unit cell a=6.176 b=3.584 c=6.309 alpha=90.00 beta=109.47 gamma=90.00
Element x y z (fractional)
Ac (0.000, 0.000, 0.000)
Pu (0.500, 0.000, 0.500)
Pu (0.500, 0.500, 0.000)
Pa (0.000, 0.500, 0.500)
N (0.242, 0.000, 0.716)
N (0.266, 0.500, 0.294)
N (0.734, 0.500, 0.706)
N (0.758, 0.000, 0.284)

No. 8
Below is crystalline Ac2PuPaN5 at its relaxed geometry, with properties calculated at the PBE-GGA level.

## Properties
**Space-group type**: P4/mmm (123)
**Formation energy (no corrections)**: -1183 meV per atom
**M_tot**: 3.5 μB/f.u.

Unit cell a=4.171 b=4.171 c=9.146 alpha=90.00 beta=90.00 gamma=90.00
Element x y z (fractional)
Ac (0.000, 0.000, 0.222)
Ac (0.000, 0.000, 0.778)
Pu (0.500, 0.500, 0.000)
Pa (0.500, 0.500, 0.500)
N (0.000, 0.000, 0.500)
N (0.000, 0.500, 0.000)
N (0.500, 0.000, 0.000)
N (0.500, 0.500, 0.276)
N (0.500, 0.500, 0.724)

No. 9
Below is crystalline AcPu3Pa4N12 at its relaxed geometry, with properties calculated at the PBE-GGA level.

## Properties
**Space-group type**: Im-3 (204)
**Formation energy (no corrections)**: -1318 meV per atom
**M_tot**: 11.0 μB/f.u.

Unit cell a=7.398 b=7.398 c=7.398 alpha=109.47 beta=109.47 gamma=109.47
Element x y z (fractional)
Ac (0.000, 0.000, 0.000)
Pu (0.000, 0.500, 0.500)
Pu (0.500, 0.000, 0.500)
Pu (0.500, 0.500, 0.000)
Pa (0.000, 0.000, 0.500)
Pa (0.000, 0.500, 0.000)
Pa (0.500, 0.000, 0.000)
Pa (0.500, 0.500, 0.500)
N (0.132, 0.310, 0.822)
N (0.178, 0.488, 0.310)
N (0.178, 0.868, 0.690)
N (0.310, 0.178, 0.488)
N (0.310, 0.822, 0.132)
N (0.488, 0.310, 0.178)
N (0.512, 0.690, 0.822)
N (0.690, 0.178, 0.868)
N (0.690, 0.822, 0.512)
N (0.822, 0.132, 0.310)
N (0.822, 0.512, 0.690)
N (0.868, 0.690, 0.178)

No. 10
Below is crystalline Ac2PuPaN6 at its relaxed geometry, with properties calculated at the PBE-GGA level.

## Properties
**Space-group type**: P2_1/c (14)
**Formation energy (no corrections)**: -1263 meV per atom
**M_tot**: 1.0 μB/f.u.

Unit cell a=6.105 b=6.086 c=10.529 alpha=90.00 beta=125.24 gamma=90.00
Element x y z (fractional)
Ac (0.244, 0.023, 0.249)
Ac (0.244, 0.477, 0.749)
Ac (0.756, 0.523, 0.251)
Ac (0.756, 0.977, 0.751)
Pu (0.000, 0.000, 0.500)
Pu (0.000, 0.500, 0.000)
Pa (0.500, 0.000, 0.000)
Pa (0.500, 0.500, 0.500)
N (0.174, 0.226, 0.958)
N (0.174, 0.274, 0.458)
N (0.226, 0.711, 0.961)
N (0.226, 0.789, 0.461)
N (0.317, 0.015, 0.741)
N (0.317, 0.485, 0.241)
N (0.683, 0.515, 0.759)
N (0.683, 0.985, 0.259)
N (0.774, 0.211, 0.539)
N (0.774, 0.289, 0.039)
N (0.826, 0.726, 0.542)
N (0.826, 0.774, 0.042)

No. 11
Below is crystalline Ac2PaRe2N6 at its relaxed geometry, with properties calculated at the PBE-GGA level.

## Properties
**Space-group type**: R-3m (166)
**Formation energy (no corrections)**: -811 meV per atom
**M_tot**: 0.0 μB/f.u.

Unit cell a=7.034 b=7.034 c=7.034 alpha=49.18 beta=49.18 gamma=49.18
Element x y z (fractional)
Ac (0.213, 0.213, 0.213)
Ac (0.787, 0.787, 0.787)
Pa (0.000, 0.000, 0.000)
Re (0.397, 0.397, 0.397)
Re (0.603, 0.603, 0.603)
N (0.228, 0.749, 0.749)
N (0.251, 0.251, 0.772)
N (0.251, 0.772, 0.251)
N (0.749, 0.228, 0.749)
N (0.749, 0.749, 0.228)
N (0.772, 0.251, 0.251)

No. 12
Below is crystalline AcPa2ReN6 at its relaxed geometry, with properties calculated at the PBE-GGA level.

## Properties
**Space-group type**: P4mm (99)
**Formation energy (no corrections)**: -791 meV per atom
**M_tot**: 0.0 μB/f.u.

Unit cell a=5.400 b=5.400 c=5.946 alpha=90.00 beta=90.00 gamma=90.00
Element x y z (fractional)
Ac (0.000, 0.000, 0.000)
Pa (0.000, 0.500, 0.442)
Pa (0.500, 0.000, 0.442)
Re (0.500, 0.500, 0.099)
N (0.000, 0.000, 0.589)
N (0.262, 0.262, 0.252)
N (0.262, 0.738, 0.252)
N (0.500, 0.500, 0.798)
N (0.738, 0.262, 0.252)
N (0.738, 0.738, 0.252)

No. 13
Below is crystalline AcPa2RhN4 at its relaxed geometry, with properties calculated at the PBE-GGA level.

## Properties
**Space-group type**: Cmcm (63)
**Formation energy (no corrections)**: -1284 meV per atom
**M_tot**: 0.0 μB/f.u.

Unit cell a=6.177 b=6.177 c=11.805 alpha=90.00 beta=90.00 gamma=146.04
Element x y z (fractional)
Ac (0.105, 0.895, 0.750)
Ac (0.895, 0.105, 0.250)
Pa (0.368, 0.632, 0.562)
Pa (0.368, 0.632, 0.938)
Pa (0.632, 0.368, 0.062)
Pa (0.632, 0.368, 0.438)
Rh (0.160, 0.840, 0.250)
Rh (0.840, 0.160, 0.750)
N (0.000, 0.000, 0.000)
N (0.000, 0.000, 0.500)
N (0.267, 0.733, 0.098)
N (0.267, 0.733, 0.402)
N (0.449, 0.551, 0.750)
N (0.551, 0.449, 0.250)
N (0.733, 0.267, 0.598)
N (0.733, 0.267, 0.902)

No. 14
Below is crystalline AcPa2RhN5 at its relaxed geometry, with properties calculated at the PBE-GGA level.

## Properties
**Space-group type**: I4/mcm (140)
**Formation energy (no corrections)**: -1135 meV per atom
**M_tot**: 0.0 μB/f.u.

Unit cell a=7.571 b=7.571 c=7.571 alpha=128.16 beta=128.16 gamma=76.37
Element x y z (fractional)
Ac (0.250, 0.250, 0.000)
Ac (0.750, 0.750, 0.000)
Pa (0.178, 0.678, 0.855)
Pa (0.322, 0.178, 0.500)
Pa (0.678, 0.822, 0.500)
Pa (0.822, 0.322, 0.145)
Rh (0.250, 0.750, 0.500)
Rh (0.750, 0.250, 0.500)
N (0.000, 0.000, 0.000)
N (0.021, 0.234, 0.500)
N (0.234, 0.734, 0.213)
N (0.266, 0.479, 0.500)
N (0.479, 0.979, 0.213)
N (0.500, 0.500, 0.000)
N (0.521, 0.021, 0.787)
N (0.734, 0.521, 0.500)
N (0.766, 0.266, 0.787)
N (0.979, 0.766, 0.500)

No. 15
Below is crystalline AcPaRhN3 at its relaxed geometry, with properties calculated at the PBE-GGA level.

## Properties
**Space-group type**: P2_1/m (11)
**Formation energy (no corrections)**: -891 meV per atom
**M_tot**: 0.0 μB/f.u.

Unit cell a=7.515 b=3.591 c=7.777 alpha=90.00 beta=101.95 gamma=90.00
Element x y z (fractional)
Ac (0.230, 0.250, 0.203)
Ac (0.770, 0.750, 0.797)
Pa (0.169, 0.250, 0.661)
Pa (0.831, 0.750, 0.339)
Rh (0.408, 0.750, 0.903)
Rh (0.592, 0.250, 0.097)
N (0.116, 0.750, 0.836)
N (0.141, 0.750, 0.444)
N (0.485, 0.250, 0.783)
N (0.515, 0.750, 0.217)
N (0.859, 0.250, 0.556)
N (0.884, 0.250, 0.164)

No. 16
Below is crystalline AcPaRuN3 at its relaxed geometry, with properties calculated at the PBE-GGA level.

## Properties
**Space-group type**: P2_1/m (11)
**Formation energy (no corrections)**: -903 meV per atom
**M_tot**: 0.0 μB/f.u.

Unit cell a=7.537 b=3.520 c=7.848 alpha=90.00 beta=102.88 gamma=90.00
Element x y z (fractional)
Ac (0.178, 0.250, 0.206)
Ac (0.822, 0.750, 0.794)
Pa (0.340, 0.750, 0.832)
Pa (0.660, 0.250, 0.168)
Ru (0.102, 0.250, 0.589)
Ru (0.898, 0.750, 0.411)
N (0.135, 0.250, 0.866)
N (0.187, 0.750, 0.479)
N (0.441, 0.750, 0.127)
N (0.559, 0.250, 0.873)
N (0.813, 0.250, 0.521)
N (0.865, 0.750, 0.134)

No. 17
Below is crystalline AcPaS2N at its relaxed geometry, with properties calculated at the PBE-GGA level.

## Properties
**Space-group type**: P4/nmm (129)
**Formation energy (no corrections)**: -1849 meV per atom
**M_tot**: 0.7 μB/f.u.

Unit cell a=3.991 b=3.991 c=14.879 alpha=90.00 beta=90.00 gamma=90.00
Element x y z (fractional)
Ac (0.250, 0.250, 0.130)
Ac (0.750, 0.750, 0.870)
Pa (0.250, 0.250, 0.578)
Pa (0.750, 0.750, 0.422)
S (0.250, 0.250, 0.326)
S (0.250, 0.250, 0.915)
S (0.750, 0.750, 0.085)
S (0.750, 0.750, 0.674)
N (0.250, 0.750, 0.500)
N (0.750, 0.250, 0.500)

No. 18
Below is crystalline Ac3Pa2S2N5 at its relaxed geometry, with properties calculated at the PBE-GGA level.

## Properties
**Space-group type**: I4/mmm (139)
**Formation energy (no corrections)**: -1699 meV per atom
**M_tot**: 0.0 μB/f.u.

Unit cell a=12.808 b=12.808 c=12.808 alpha=160.12 beta=160.12 gamma=28.25
Element x y z (fractional)
Ac (0.000, 0.000, 0.000)
Ac (0.171, 0.171, 0.000)
Ac (0.829, 0.829, 0.000)
Pa (0.410, 0.410, 0.000)
Pa (0.590, 0.590, 0.000)
S (0.295, 0.295, 0.000)
S (0.705, 0.705, 0.000)
N (0.099, 0.599, 0.500)
N (0.401, 0.901, 0.500)
N (0.500, 0.500, 0.000)
N (0.599, 0.099, 0.500)
N (0.901, 0.401, 0.500)

No. 19
Below is crystalline AcPaSN2 at its relaxed geometry, with properties calculated at the PBE-GGA level.

## Properties
**Space-group type**: I4mm (107)
**Formation energy (no corrections)**: -1695 meV per atom
**M_tot**: 0.0 μB/f.u.

Unit cell a=6.921 b=6.921 c=6.921 alpha=146.81 beta=146.81 gamma=47.65
Element x y z (fractional)
Ac (0.000, 0.000, 0.000)
Pa (0.303, 0.303, 0.000)
S (0.647, 0.647, 0.000)
N (0.378, 0.878, 0.500)
N (0.878, 0.378, 0.500)